The following is a DFT calculation (PBE) of La2ScNi2 after structural relaxation.

VASP energy, eV/cell: -54.83
Crystal system: tetragonal
DFT formation energy, eV/f.u.: 0.3
DOS at the Fermi energy, states/eV/f.u.: 8.853

Cell lengths 3.5012, 3.5012, 20.0243 Å; angles 90.00, 90.00, 90.00 degrees
Space group I4/mmm (No. 139)
Symmetry-distinct sites (fractional):
La 0.0000 0.0000 0.1367 [4 per cell]
Sc 0.0000 0.0000 0.5000 [2 per cell]
Ni 0.0000 0.5000 0.2500 [4 per cell]

=====

The following is a DFT calculation (PBE) of La2ScNi after structural relaxation.

VASP energy, eV/cell: -86.88
Crystal system: tetragonal
DFT formation energy, eV/f.u.: 0.2
DOS at the Fermi energy, states/eV/f.u.: 4.707

Cell lengths 8.4061, 8.4061, 6.2730 Å; angles 90.00, 90.00, 90.00 degrees
Space group I-42d (No. 122)
Symmetry-distinct sites (fractional):
La 0.1826 0.7500 0.1250 [8 per cell]
Sc 0.0000 0.0000 0.5000 [4 per cell]
Ni 0.0000 0.0000 0.0000 [4 per cell]

=====

The following is a DFT calculation (PBE) of La2ScNi9 after structural relaxation.

VASP energy, eV/cell: -216.01
Crystal system: trigonal
DFT formation energy, eV/f.u.: -3.8
DOS at the Fermi energy, states/eV/f.u.: 14.231

Cell lengths 4.9341, 4.9341, 25.1533 Å; angles 90.00, 90.00, 120.00 degrees
Space group R-3m (No. 166, hexagonal axes)
Symmetry-distinct sites (fractional):
La 0.0000 0.0000 0.1363 [6 per cell]
Sc 0.0000 0.0000 0.0000 [3 per cell]
Ni 0.0000 0.0000 0.3328 [6 per cell]
Ni 0.0000 0.0000 0.5000 [3 per cell]
Ni 0.0009 0.5004 0.0781 [18 per cell]

=====

The following is a DFT calculation (PBE) of La2Sc2Ni after structural relaxation.

VASP energy, eV/cell: -56.62
Crystal system: tetragonal
DFT formation energy, eV/f.u.: 0.0
DOS at the Fermi energy, states/eV/f.u.: 4.674

Cell lengths 6.8618, 6.8618, 5.5898 Å; angles 90.00, 90.00, 90.00 degrees
Space group P4/mbm (No. 127)
Symmetry-distinct sites (fractional):
La 0.1678 0.3322 0.0000 [4 per cell]
Sc 0.1600 0.6600 0.5000 [4 per cell]
Ni 0.0000 0.0000 0.5000 [2 per cell]

=====

The following is a DFT calculation (PBE) of LaScNi10 after structural relaxation.

VASP energy, eV/cell: -72.39
Crystal system: orthorhombic
DFT formation energy, eV/f.u.: -3.3
DOS at the Fermi energy, states/eV/f.u.: 13.249

Cell lengths 3.9775, 4.8593, 8.4601 Å; angles 90.00, 90.00, 90.00 degrees
Space group Pmmm (No. 47)
Symmetry-distinct sites (fractional):
La 0.0000 0.0000 0.0000 [1 per cell]
Sc 0.0000 0.5000 0.5000 [1 per cell]
Ni 0.0000 0.0000 0.3433 [2 per cell]
Ni 0.0000 0.5000 0.1814 [2 per cell]
Ni 0.5000 0.0000 0.5000 [1 per cell]
Ni 0.5000 0.2541 0.2593 [4 per cell]
Ni 0.5000 0.5000 0.0000 [1 per cell]

=====

The following is a DFT calculation (PBE) of La2ScNi after structural relaxation.

VASP energy, eV/cell: -44.76
Crystal system: orthorhombic
DFT formation energy, eV/f.u.: -0.4
DOS at the Fermi energy, states/eV/f.u.: 5.864

Cell lengths 3.5764, 5.4335, 10.9528 Å; angles 90.00, 90.00, 90.00 degrees
Space group Imm2 (No. 44)
Symmetry-distinct sites (fractional):
La 0.0000 0.0000 0.0000 [2 per cell]
La 0.0000 0.5000 0.1954 [2 per cell]
Sc 0.0000 0.0000 0.3873 [2 per cell]
Ni 0.0000 0.5000 0.7159 [2 per cell]

=====

The following is a DFT calculation (PBE) of La2ScNi after structural relaxation.

VASP energy, eV/cell: -85.29
Crystal system: cubic
DFT formation energy, eV/f.u.: 0.6
DOS at the Fermi energy, states/eV/f.u.: 7.154

Cell lengths 7.4741, 7.4741, 7.4741 Å; angles 90.00, 90.00, 90.00 degrees
Space group Fm-3m (No. 225)
Symmetry-distinct sites (fractional):
La 0.2500 0.2500 0.2500 [8 per cell]
Sc 0.0000 0.0000 0.0000 [4 per cell]
Ni 0.0000 0.0000 0.5000 [4 per cell]

=====

The following is a DFT calculation (PBE) of La2ScNi after structural relaxation.

VASP energy, eV/cell: -21.72
Crystal system: tetragonal
DFT formation energy, eV/f.u.: 0.2
DOS at the Fermi energy, states/eV/f.u.: 4.121

Cell lengths 5.3406, 5.3406, 3.6304 Å; angles 90.00, 90.00, 90.00 degrees
Space group P4/mmm (No. 123)
Symmetry-distinct sites (fractional):
La 0.0000 0.5000 0.0000 [2 per cell]
Sc 0.0000 0.0000 0.5000 [1 per cell]
Ni 0.5000 0.5000 0.5000 [1 per cell]